No. 1
{"formula": "YAu3", "functional": "SCAN", "state": "single point on PBEsol structure", "dft_energy_ev_per_cell": -238.45, "vol_a3_per_atom": 19.40, "dos_at_fermi_per_ev_cell": 0.9, "ef_ev_per_atom": -0.783, "lattice_angstrom": [[-2.250, 0.372, 2.746], [-2.460, -1.896, -1.759], [2.177, -5.122, 2.477]], "species": ["Au", "Au", "Au", "Y"], "frac_coords": [[0.000, 0.000, 0.267], [0.000, 0.000, 0.733], [0.500, 0.500, 0.500], [0.500, 0.500, 0.000]]}

No. 2
{"formula": "NbTe2IO", "functional": "SCAN", "state": "single point on PBEsol structure", "dft_energy_ev_per_cell": -148.55, "vol_a3_per_atom": 22.83, "dos_at_fermi_per_ev_cell": 2.1, "lattice_angstrom": [[-3.219, 1.567, 2.609], [-3.019, -2.128, -2.446], [0.509, -4.669, 3.433]], "species": ["Te", "Te", "O", "Nb", "I"], "frac_coords": [[0.000, 0.500, 0.000], [0.500, 0.000, 0.000], [0.000, 0.000, 0.000], [0.500, 0.500, 0.500], [0.000, 0.000, 0.500]]}

No. 3
{"formula": "Fe4Co", "functional": "SCAN", "state": "single point on PBEsol structure", "dft_energy_ev_per_cell": -90.42, "vol_a3_per_atom": 10.96, "dos_at_fermi_per_ev_cell": 2.0, "de_polymorph_ev_per_atom": 0.003, "ef_ev_per_atom": -0.119, "lattice_angstrom": [[-1.691, -1.695, -1.454], [0.176, -4.191, 1.983], [-4.220, 0.258, 1.911]], "species": ["Fe", "Fe", "Fe", "Fe", "Co"], "frac_coords": [[0.799, 0.801, 0.601], [0.600, 0.601, 0.199], [0.201, 0.199, 0.399], [0.400, 0.399, 0.801], [0.000, 0.000, 0.000]]}

No. 4
{"formula": "RbYCr2Mo", "functional": "SCAN", "state": "single point on PBEsol structure", "dft_energy_ev_per_cell": -115.40, "vol_a3_per_atom": 25.40, "dos_at_fermi_per_ev_cell": 3.6, "ef_ev_per_atom": 0.967, "lattice_angstrom": [[4.869, 0.000, 0.000], [0.000, 4.869, 0.000], [0.000, 0.000, 5.356]], "species": ["Mo", "Cr", "Cr", "Rb", "Y"], "frac_coords": [[0.000, 0.000, 0.000], [0.000, 0.500, 0.000], [0.500, 0.000, 0.000], [0.500, 0.500, 0.500], [0.000, 0.000, 0.500]]}

No. 5
{"formula": "NbSi2Cl", "functional": "SCAN", "state": "single point on PBEsol structure", "dft_energy_ev_per_cell": -119.68, "vol_a3_per_atom": 19.69, "dos_at_fermi_per_ev_cell": 5.7, "lattice_angstrom": [[-0.786, -6.194, -0.699], [-1.318, 1.692, -5.905], [5.079, -0.203, 3.692]], "species": ["Cl", "Cl", "Si", "Si", "Si", "Si", "Nb", "Nb"], "frac_coords": [[0.000, 0.500, 0.500], [0.500, 0.250, 0.750], [0.436, 0.375, 0.311], [0.936, 0.061, 0.625], [0.564, 0.875, 0.939], [0.064, 0.689, 0.125], [0.000, 0.000, 0.000], [0.500, 0.750, 0.250]]}

No. 6
{"formula": "MgHgPO2", "functional": "SCAN", "state": "single point on PBEsol structure", "dft_energy_ev_per_cell": -94.47, "vol_a3_per_atom": 17.01, "dos_at_fermi_per_ev_cell": 2.5, "lattice_angstrom": [[4.099, 0.000, 0.000], [0.000, 4.099, 0.000], [0.000, 0.000, 5.061]], "species": ["P", "Mg", "O", "O", "Hg"], "frac_coords": [[0.000, 0.000, 0.500], [0.500, 0.500, 0.500], [0.000, 0.500, 0.000], [0.500, 0.000, 0.000], [0.000, 0.000, 0.000]]}

No. 7
{"formula": "KCrS2O8", "functional": "SCAN", "state": "single point on PBEsol structure", "dft_energy_ev_per_cell": -118.99, "vol_a3_per_atom": 13.98, "dos_at_fermi_per_ev_cell": 0.0, "de_polymorph_ev_per_atom": 0.047, "lattice_angstrom": [[-1.705, 1.928, -4.331], [4.353, -2.535, 0.089], [-3.752, -6.493, -1.413]], "species": ["O", "O", "O", "O", "O", "O", "O", "O", "S", "S", "K", "Cr"], "frac_coords": [[0.347, 0.205, 0.659], [0.858, 0.653, 0.659], [0.142, 0.795, 0.341], [0.653, 0.858, 0.341], [0.333, 0.667, 0.087], [0.667, 0.333, 0.913], [0.795, 0.142, 0.659], [0.205, 0.347, 0.341], [0.333, 0.667, 0.277], [0.667, 0.333, 0.723], [0.000, 0.000, 0.000], [0.000, 0.000, 0.500]]}

No. 8
{"formula": "Tb2CuAg", "functional": "SCAN", "state": "single point on PBEsol structure", "dft_energy_ev_per_cell": -141.41, "vol_a3_per_atom": 21.51, "dos_at_fermi_per_ev_cell": 1.6, "ef_ev_per_atom": -0.330, "lattice_angstrom": [[-0.429, 0.264, -3.454], [1.168, -3.265, -0.394], [-6.600, -2.438, 0.634]], "species": ["Ag", "Cu", "Tb", "Tb"], "frac_coords": [[0.000, 0.000, 0.000], [0.000, 0.000, 0.500], [0.500, 0.500, 0.736], [0.500, 0.500, 0.264]]}

No. 9
{"formula": "Li3BiO3", "functional": "SCAN", "state": "single point on PBEsol structure", "dft_energy_ev_per_cell": -933.56, "vol_a3_per_atom": 12.13, "dos_at_fermi_per_ev_cell": 0.0, "de_polymorph_ev_per_atom": 0.000, "lattice_angstrom": [[8.906, 0.043, -0.001], [0.175, 9.097, 0.026], [2.916, 3.915, 8.396]], "species": ["Bi", "Bi", "Bi", "Bi", "Bi", "Bi", "Bi", "Bi", "O", "O", "O", "O", "O", "O", "O", "O", "O", "O", "O", "O", "O", "O", "O", "O", "O", "O", "O", "O", "O", "O", "O", "O", "Li", "Li", "Li", "Li", "Li", "Li", "Li", "Li", "Li", "Li", "Li", "Li", "Li", "Li", "Li", "Li", "Li", "Li", "Li", "Li", "Li", "Li", "Li", "Li"], "frac_coords": [[0.854, 0.838, 0.860], [0.834, 0.247, 0.803], [0.759, 0.706, 0.306], [0.284, 0.867, 0.771], [0.241, 0.294, 0.694], [0.146, 0.162, 0.140], [0.166, 0.753, 0.197], [0.716, 0.133, 0.229], [0.857, 0.245, 0.583], [0.459, 0.195, 0.685], [0.541, 0.805, 0.315], [0.715, 0.658, 0.544], [0.026, 0.531, 0.276], [0.890, 0.859, 0.633], [0.143, 0.755, 0.417], [0.363, 0.048, 0.115], [0.974, 0.469, 0.724], [0.696, 0.081, 0.463], [0.119, 0.656, 0.859], [0.478, 0.729, 0.764], [0.278, 0.385, 0.053], [0.522, 0.271, 0.236], [0.354, 0.518, 0.639], [0.881, 0.344, 0.141], [0.613, 0.335, 0.842], [0.387, 0.665, 0.158], [0.637, 0.952, 0.885], [0.285, 0.342, 0.456], [0.110, 0.141, 0.367], [0.722, 0.615, 0.947], [0.304, 0.919, 0.537], [0.646, 0.482, 0.361], [0.650, 0.103, 0.659], [0.424, 0.577, 0.374], [0.074, 0.339, 0.433], [0.310, 0.150, 0.406], [0.654, 0.562, 0.790], [0.102, 0.916, 0.500], [0.926, 0.661, 0.567], [0.323, 0.535, 0.841], [0.576, 0.423, 0.626], [0.479, 0.727, 0.551], [0.521, 0.273, 0.449], [0.529, 0.727, 0.945], [0.078, 0.495, 0.086], [0.350, 0.897, 0.341], [0.898, 0.084, 0.500], [0.346, 0.438, 0.210], [0.922, 0.505, 0.914], [0.837, 0.372, 0.359], [0.471, 0.273, 0.055], [0.510, 0.875, 0.110], [0.490, 0.125, 0.890], [0.163, 0.628, 0.641], [0.677, 0.465, 0.159], [0.690, 0.850, 0.594]]}

No. 10
{"formula": "CsHfSb2Te", "functional": "SCAN", "state": "single point on PBEsol structure", "dft_energy_ev_per_cell": -202.51, "vol_a3_per_atom": 39.00, "dos_at_fermi_per_ev_cell": 4.7, "lattice_angstrom": [[5.766, 0.000, 0.000], [0.000, 5.815, 0.000], [0.000, 0.000, 5.815]], "species": ["Cs", "Te", "Hf", "Sb", "Sb"], "frac_coords": [[0.000, 0.000, 0.000], [0.500, 0.000, 0.000], [0.500, 0.500, 0.500], [0.000, 0.500, 0.000], [0.000, 0.000, 0.500]]}

No. 11
{"formula": "Tl2SbSe", "functional": "SCAN", "state": "single point on PBEsol structure", "dft_energy_ev_per_cell": -201.72, "vol_a3_per_atom": 26.08, "dos_at_fermi_per_ev_cell": 2.3, "de_polymorph_ev_per_atom": 0.085, "lattice_angstrom": [[5.284, 0.000, 0.000], [2.642, 4.576, 0.000], [2.642, 1.525, 4.314]], "species": ["Tl", "Tl", "Se", "Sb"], "frac_coords": [[0.750, 0.750, 0.750], [0.250, 0.250, 0.250], [0.500, 0.500, 0.500], [0.000, 0.000, 0.000]]}

No. 12
{"formula": "Ca3ZnN", "functional": "SCAN", "state": "single point on PBEsol structure", "dft_energy_ev_per_cell": -54.82, "vol_a3_per_atom": 22.53, "dos_at_fermi_per_ev_cell": 2.9, "lattice_angstrom": [[4.830, 0.000, 0.000], [0.000, 4.830, 0.000], [0.000, 0.000, 4.830]], "species": ["N", "Ca", "Ca", "Ca", "Zn"], "frac_coords": [[0.000, 0.000, 0.000], [0.000, 0.000, 0.500], [0.000, 0.500, 0.000], [0.500, 0.000, 0.000], [0.500, 0.500, 0.500]]}

What did the eleventh record say?
{"formula": "Tl2SbSe", "functional": "SCAN", "state": "single point on PBEsol structure", "dft_energy_ev_per_cell": -201.72, "vol_a3_per_atom": 26.08, "dos_at_fermi_per_ev_cell": 2.3, "de_polymorph_ev_per_atom": 0.085, "lattice_angstrom": [[5.284, 0.000, 0.000], [2.642, 4.576, 0.000], [2.642, 1.525, 4.314]], "species": ["Tl", "Tl", "Se", "Sb"], "frac_coords": [[0.750, 0.750, 0.750], [0.250, 0.250, 0.250], [0.500, 0.500, 0.500], [0.000, 0.000, 0.000]]}

Repeat the twelfth record exactly.
{"formula": "Ca3ZnN", "functional": "SCAN", "state": "single point on PBEsol structure", "dft_energy_ev_per_cell": -54.82, "vol_a3_per_atom": 22.53, "dos_at_fermi_per_ev_cell": 2.9, "lattice_angstrom": [[4.830, 0.000, 0.000], [0.000, 4.830, 0.000], [0.000, 0.000, 4.830]], "species": ["N", "Ca", "Ca", "Ca", "Zn"], "frac_coords": [[0.000, 0.000, 0.000], [0.000, 0.000, 0.500], [0.000, 0.500, 0.000], [0.500, 0.000, 0.000], [0.500, 0.500, 0.500]]}